Entry 1:
Below is a geometry-optimized BaCd2Sb2 structure, with properties calculated at the PBEsol level. Values from VASP.

Computed properties:
- volume (Å³/cell) = 157
- DOS(E_F) (states/eV/cell) = 0.213
- size of the total moment (μB/f.u.) = 0.0
- raw formation energy (meV/atom) = -533

Cell and atoms, written as Quantum ESPRESSO input:
```
&SYSTEM
  ibrav = 0, nat = 5, ntyp = 3
/
ATOMIC_SPECIES
Ba 137.33 Ba.upf
Cd 112.41 Cd.upf
Sb 121.76 Sb.upf
ATOMIC_POSITIONS crystal
Ba 0.0000 0.0000 0.0000
Cd 0.3333 0.6667 0.3669
Cd 0.6667 0.3333 0.6331
Sb 0.3333 0.6667 0.7373
Sb 0.6667 0.3333 0.2627
CELL_PARAMETERS angstrom
4.7721 0.0000 0.0000
-2.3861 4.1328 0.0000
0.0000 0.0000 7.9851
```

Entry 2:
Below is a geometry-optimized BaCdSb structure, with properties calculated at the PBEsol level. Values from VASP.

Computed properties:
- volume (Å³/cell) = 99
- DOS(E_F) (states/eV/cell) = 2.044
- size of the total moment (μB/f.u.) = 0.0
- raw formation energy (meV/atom) = -638

Cell and atoms, written as Quantum ESPRESSO input:
```
&SYSTEM
  ibrav = 0, nat = 3, ntyp = 3
/
ATOMIC_SPECIES
Ba 137.33 Ba.upf
Cd 112.41 Cd.upf
Sb 121.76 Sb.upf
ATOMIC_POSITIONS crystal
Ba 0.0000 0.0000 0.0000
Cd 0.3333 0.6667 0.5623
Sb 0.6667 0.3333 0.4653
CELL_PARAMETERS angstrom
4.8183 0.0000 0.0000
-2.4092 4.1728 0.0000
0.0000 0.0000 4.9025
```

Entry 3:
Below is a geometry-optimized BaCd2Sb2 structure, with properties calculated at the PBEsol level. Values from VASP.

Computed properties:
- volume (Å³/cell) = 148
- DOS(E_F) (states/eV/cell) = 0.531
- size of the total moment (μB/f.u.) = 0.0
- raw formation energy (meV/atom) = -498

Cell and atoms, written as Quantum ESPRESSO input:
```
&SYSTEM
  ibrav = 0, nat = 5, ntyp = 3
/
ATOMIC_SPECIES
Ba 137.33 Ba.upf
Cd 112.41 Cd.upf
Sb 121.76 Sb.upf
ATOMIC_POSITIONS crystal
Ba 0.0000 0.0000 0.0000
Cd 0.2500 0.7500 0.5000
Cd 0.7500 0.2500 0.5000
Sb 0.3787 0.3787 0.0000
Sb 0.6213 0.6213 0.0000
CELL_PARAMETERS angstrom
-2.2624 2.2624 7.2421
2.2624 -2.2624 7.2421
2.2624 2.2624 -7.2421
```